w) {"formula": "InAs2Pb2", "functional": "PBE", "state": "relaxed", "spacegroup": "I4/mmm (139)", "dos_at_fermi_per_ev_cell": 2.6, "lattice_angstrom": [[-1.920, 1.920, 9.245], [1.920, -1.920, 9.245], [1.920, 1.920, -9.245]], "species": ["In", "As", "As", "Pb", "Pb"], "frac_coords": [[0.000, 0.000, 0.000], [0.250, 0.750, 0.500], [0.750, 0.250, 0.500], [0.391, 0.391, 0.000], [0.609, 0.609, 0.000]]}

x) {"formula": "InAs2Pb2", "functional": "PBE", "state": "relaxed", "spacegroup": "P4/mbm (127)", "dos_at_fermi_per_ev_cell": 5.6, "lattice_angstrom": [[8.094, 0.000, 0.000], [0.000, 8.094, 0.000], [0.000, 0.000, 4.106]], "species": ["In", "In", "As", "As", "As", "As", "Pb", "Pb", "Pb", "Pb"], "frac_coords": [[0.000, 0.000, 0.000], [0.500, 0.500, 0.000], [0.164, 0.336, 0.000], [0.336, 0.836, 0.000], [0.664, 0.164, 0.000], [0.836, 0.664, 0.000], [0.149, 0.649, 0.500], [0.351, 0.149, 0.500], [0.649, 0.851, 0.500], [0.851, 0.351, 0.500]]}

On energetic grounds, x) is preferred over the next structure by 37 meV/atom.

w) {"formula": "InAs2Pb2", "functional": "PBE", "state": "relaxed", "spacegroup": "I4/mmm (139)", "dos_at_fermi_per_ev_cell": 1.9, "lattice_angstrom": [[-2.755, 2.755, 4.918], [2.755, -2.755, 4.918], [2.755, 2.755, -4.918]], "species": ["In", "As", "As", "Pb", "Pb"], "frac_coords": [[0.000, 0.000, 0.000], [0.374, 0.374, 0.000], [0.626, 0.626, 0.000], [0.250, 0.750, 0.500], [0.750, 0.250, 0.500]]}

x) {"formula": "InAs2Pb2", "functional": "PBE", "state": "relaxed", "spacegroup": "P4/mbm (127)", "dos_at_fermi_per_ev_cell": 5.6, "lattice_angstrom": [[8.540, 0.000, 0.000], [0.000, 8.540, 0.000], [0.000, 0.000, 3.764]], "species": ["In", "In", "As", "As", "As", "As", "Pb", "Pb", "Pb", "Pb"], "frac_coords": [[0.000, 0.000, 0.000], [0.500, 0.500, 0.000], [0.149, 0.351, 0.500], [0.351, 0.851, 0.500], [0.649, 0.149, 0.500], [0.851, 0.649, 0.500], [0.141, 0.641, 0.000], [0.359, 0.141, 0.000], [0.641, 0.859, 0.000], [0.859, 0.359, 0.000]]}

On energetic grounds, w) is preferred over the next structure by 68 meV/atom.

w) {"formula": "In3AsPd", "functional": "PBE", "state": "relaxed", "spacegroup": "Pm-3m (221)", "dos_at_fermi_per_ev_cell": 4.9, "lattice_angstrom": [[5.146, 0.000, 0.000], [0.000, 5.146, 0.000], [0.000, 0.000, 5.146]], "species": ["In", "In", "In", "As", "Pd"], "frac_coords": [[0.000, 0.000, 0.500], [0.000, 0.500, 0.000], [0.500, 0.000, 0.000], [0.500, 0.500, 0.500], [0.000, 0.000, 0.000]]}

x) {"formula": "In3AsPd", "functional": "PBE", "state": "relaxed", "spacegroup": "Pm-3m (221)", "dos_at_fermi_per_ev_cell": 2.1, "lattice_angstrom": [[5.323, 0.000, 0.000], [0.000, 5.323, 0.000], [0.000, 0.000, 5.323]], "species": ["In", "In", "In", "As", "Pd"], "frac_coords": [[0.000, 0.000, 0.500], [0.000, 0.500, 0.000], [0.500, 0.000, 0.000], [0.000, 0.000, 0.000], [0.500, 0.500, 0.500]]}

On energetic grounds, w) is preferred over the next structure by 438 meV/atom.

w) {"formula": "InAs2Pd7", "functional": "PBE", "state": "relaxed", "spacegroup": "Cmmm (65)", "dos_at_fermi_per_ev_cell": 4.4, "lattice_angstrom": [[3.708, -6.042, 0.000], [3.708, 6.042, 0.000], [0.000, 0.000, 4.399]], "species": ["In", "As", "As", "Pd", "Pd", "Pd", "Pd", "Pd", "Pd", "Pd"], "frac_coords": [[0.000, 0.000, 0.000], [0.304, 0.696, 0.500], [0.696, 0.304, 0.500], [0.067, 0.305, 0.500], [0.224, 0.776, 0.000], [0.305, 0.067, 0.500], [0.500, 0.500, 0.500], [0.695, 0.933, 0.500], [0.776, 0.224, 0.000], [0.933, 0.695, 0.500]]}

x) {"formula": "InAs2Pd7", "functional": "PBE", "state": "relaxed", "spacegroup": "I4/mmm (139)", "dos_at_fermi_per_ev_cell": 4.9, "lattice_angstrom": [[-2.038, 2.038, 10.149], [2.038, -2.038, 10.149], [2.038, 2.038, -10.149]], "species": ["In", "As", "As", "Pd", "Pd", "Pd", "Pd", "Pd", "Pd", "Pd"], "frac_coords": [[0.000, 0.000, 0.000], [0.328, 0.328, 0.000], [0.672, 0.672, 0.000], [0.100, 0.600, 0.500], [0.250, 0.750, 0.500], [0.400, 0.900, 0.500], [0.500, 0.500, 0.000], [0.600, 0.100, 0.500], [0.750, 0.250, 0.500], [0.900, 0.400, 0.500]]}

On energetic grounds, x) is preferred over the next structure by 247 meV/atom.

w) {"formula": "InAsPd4", "functional": "PBE", "state": "relaxed", "spacegroup": "C2/c (15)", "dos_at_fermi_per_ev_cell": 5.6, "lattice_angstrom": [[3.678, -5.543, 0.000], [3.678, 5.543, 0.000], [-1.799, 0.000, 4.983]], "species": ["In", "In", "As", "As", "Pd", "Pd", "Pd", "Pd", "Pd", "Pd", "Pd", "Pd"], "frac_coords": [[0.112, 0.888, 0.750], [0.888, 0.112, 0.250], [0.490, 0.510, 0.750], [0.510, 0.490, 0.250], [0.101, 0.307, 0.872], [0.206, 0.577, 0.432], [0.307, 0.101, 0.372], [0.423, 0.794, 0.068], [0.577, 0.206, 0.932], [0.693, 0.899, 0.628], [0.794, 0.423, 0.568], [0.899, 0.693, 0.128]]}

x) {"formula": "InAsPd4", "functional": "PBE", "state": "relaxed", "spacegroup": "Pnma (62)", "dos_at_fermi_per_ev_cell": 5.8, "lattice_angstrom": [[7.146, 0.000, 0.000], [0.000, 3.261, 0.000], [0.000, 0.000, 17.063]], "species": ["In", "In", "In", "In", "As", "As", "As", "As", "Pd", "Pd", "Pd", "Pd", "Pd", "Pd", "Pd", "Pd", "Pd", "Pd", "Pd", "Pd", "Pd", "Pd", "Pd", "Pd"], "frac_coords": [[0.211, 0.250, 0.188], [0.289, 0.750, 0.688], [0.711, 0.250, 0.312], [0.789, 0.750, 0.812], [0.243, 0.750, 0.447], [0.257, 0.250, 0.947], [0.743, 0.750, 0.053], [0.757, 0.250, 0.553], [0.020, 0.750, 0.292], [0.038, 0.750, 0.567], [0.107, 0.750, 0.057], [0.160, 0.750, 0.843], [0.340, 0.250, 0.343], [0.393, 0.250, 0.557], [0.462, 0.250, 0.067], [0.480, 0.250, 0.792], [0.520, 0.750, 0.208], [0.538, 0.750, 0.933], [0.607, 0.750, 0.443], [0.660, 0.750, 0.657], [0.840, 0.250, 0.157], [0.893, 0.250, 0.943], [0.962, 0.250, 0.433], [0.980, 0.250, 0.708]]}

On energetic grounds, x) is preferred over the next structure by 152 meV/atom.

w) {"formula": "InSb2AsPd", "functional": "PBE", "state": "relaxed", "spacegroup": "P4/mmm (123)", "dos_at_fermi_per_ev_cell": 3.2, "lattice_angstrom": [[5.531, 0.000, 0.000], [0.000, 5.531, 0.000], [0.000, 0.000, 4.656]], "species": ["In", "Sb", "Sb", "As", "Pd"], "frac_coords": [[0.000, 0.000, 0.000], [0.000, 0.500, 0.500], [0.500, 0.000, 0.500], [0.500, 0.500, 0.500], [0.500, 0.500, 0.000]]}

x) {"formula": "InSb2AsPd", "functional": "PBE", "state": "relaxed", "spacegroup": "P4/mmm (123)", "dos_at_fermi_per_ev_cell": 6.2, "lattice_angstrom": [[5.462, 0.000, 0.000], [0.000, 5.462, 0.000], [0.000, 0.000, 4.677]], "species": ["In", "Sb", "Sb", "As", "Pd"], "frac_coords": [[0.000, 0.000, 0.000], [0.000, 0.500, 0.500], [0.500, 0.000, 0.500], [0.500, 0.500, 0.000], [0.500, 0.500, 0.500]]}

On energetic grounds, x) is preferred over the next structure by 22 meV/atom.